(1)
## K2ScAsO (PBE)

Data for crystalline K2ScAsO at its relaxed geometry.

Lattice parameters (Å, degrees): 6.0960 6.0960 5.0369 90.00 90.00 90.00
Sites, in units of the cell vectors:
K: 0.0000 0.5000 0.0000
K: 0.5000 0.0000 0.0000
Sc: 0.0000 0.0000 0.5000
As: 0.0000 0.0000 0.0000
O: 0.5000 0.5000 0.5000

Computed properties:
The value obtained for the total energy is -3.624 eV per atom. For the magnetic moment, the calculation gives 0.103 μB per formula unit.



(2)
## KScAs2O8 (PBE)

Data for crystalline KScAs2O8 at its relaxed geometry.

Lattice parameters (Å, degrees): 5.6675 5.6675 7.5838 90.00 90.00 120.00
Sites, in units of the cell vectors:
K: 0.0000 0.0000 0.0000
Sc: 0.0000 0.0000 0.5000
As: 0.3333 0.6667 0.7366
As: 0.6667 0.3333 0.2634
O: 0.1594 0.3358 0.6681
O: 0.1764 0.8406 0.6681
O: 0.3333 0.6667 0.9641
O: 0.3358 0.1764 0.3319
O: 0.6642 0.8236 0.6681
O: 0.6667 0.3333 0.0359
O: 0.8236 0.1594 0.3319
O: 0.8406 0.6642 0.3319

Computed properties:
The value obtained for the total energy is -6.258 eV per atom. For the magnetic moment, the calculation gives 2.039 μB per formula unit.



(3)
## K3ScAs2O8 (PBE)

Data for crystalline K3ScAs2O8 at its relaxed geometry.

Lattice parameters (Å, degrees): 5.7690 5.7690 7.6419 90.00 90.00 120.00
Sites, in units of the cell vectors:
K: 0.0000 0.0000 0.0000
K: 0.3333 0.6667 0.6988
K: 0.6667 0.3333 0.3012
Sc: 0.0000 0.0000 0.5000
As: 0.3333 0.6667 0.2536
As: 0.6667 0.3333 0.7464
O: 0.1716 0.3433 0.3370
O: 0.1716 0.8284 0.3370
O: 0.3333 0.6667 0.0345
O: 0.3433 0.1716 0.6630
O: 0.6567 0.8284 0.3370
O: 0.6667 0.3333 0.9655
O: 0.8284 0.1716 0.6630
O: 0.8284 0.6567 0.6630

Computed properties:
The value obtained for the total energy is -6.161 eV per atom. For the magnetic moment, the calculation gives 0.000 μB per formula unit.



(4)
## KScAs2O6 (PBE)

Data for crystalline KScAs2O6 at its relaxed geometry.

Lattice parameters (Å, degrees): 6.7233 6.7233 6.7233 49.27 49.27 49.27
Sites, in units of the cell vectors:
K: 0.0000 0.0000 0.0000
Sc: 0.5000 0.5000 0.5000
As: 0.2624 0.2624 0.2624
As: 0.7376 0.7376 0.7376
O: 0.0879 0.5042 0.7058
O: 0.2942 0.9121 0.4958
O: 0.4958 0.2942 0.9121
O: 0.5042 0.7058 0.0879
O: 0.7058 0.0879 0.5042
O: 0.9121 0.4958 0.2942

Computed properties:
The value obtained for the total energy is -6.374 eV per atom. For the magnetic moment, the calculation gives 1.956 μB per formula unit.



(5)
## KAsSe2O (PBE)

Data for crystalline KAsSe2O at its relaxed geometry.

Lattice parameters (Å, degrees): 5.6202 5.6202 5.8014 90.00 90.00 90.00
Sites, in units of the cell vectors:
K: 0.0000 0.0000 0.0000
As: 0.0000 0.0000 0.5000
Se: 0.0000 0.5000 0.0000
Se: 0.5000 0.0000 0.0000
O: 0.5000 0.5000 0.5000

Computed properties:
The value obtained for the total energy is -1.681 eV per atom. For the magnetic moment, the calculation gives 0.002 μB per formula unit. The distance to the lowest polymorph of the same formula is 1799 meV/atom.



(6)
## KAsSe2O (PBE)

Data for crystalline KAsSe2O at its relaxed geometry.

Lattice parameters (Å, degrees): 4.9815 4.9815 4.2728 90.00 90.00 90.00
Sites, in units of the cell vectors:
K: 0.0000 0.0000 0.0000
As: 0.5000 0.5000 0.0000
Se: 0.0000 0.5000 0.5000
Se: 0.5000 0.0000 0.5000
O: 0.5000 0.5000 0.5000

Computed properties:
The value obtained for the total energy is -3.479 eV per atom. For the magnetic moment, the calculation gives 1.016 μB per formula unit. The distance to the lowest polymorph of the same formula is 0 meV/atom.



(7)
## KAs2SeO (PBE)

Data for crystalline KAs2SeO at its relaxed geometry.

Lattice parameters (Å, degrees): 4.4553 4.4553 5.2080 90.00 90.00 90.00
Sites, in units of the cell vectors:
K: 0.0000 0.0000 0.0000
As: 0.0000 0.5000 0.5000
As: 0.5000 0.0000 0.5000
Se: 0.5000 0.5000 0.0000
O: 0.5000 0.5000 0.5000

Computed properties:
The value obtained for the total energy is -3.667 eV per atom. For the magnetic moment, the calculation gives 0.504 μB per formula unit. The distance to the lowest polymorph of the same formula is 0 meV/atom.



(8)
## KAs2SeO (PBE)

Data for crystalline KAs2SeO at its relaxed geometry.

Lattice parameters (Å, degrees): 7.2526 7.2526 6.3663 90.00 90.00 90.00
Sites, in units of the cell vectors:
K: 0.0000 0.0000 0.0000
As: 0.0000 0.5000 0.0000
As: 0.5000 0.0000 0.0000
Se: 0.0000 0.0000 0.5000
O: 0.5000 0.5000 0.5000

Computed properties:
The value obtained for the total energy is -2.025 eV per atom. For the magnetic moment, the calculation gives 5.501 μB per formula unit. The distance to the lowest polymorph of the same formula is 1642 meV/atom.



(9)
## KSiAs2O8 (PBE)

Data for crystalline KSiAs2O8 at its relaxed geometry.

Lattice parameters (Å, degrees): 9.1690 9.1690 9.1690 33.02 33.02 33.02
Sites, in units of the cell vectors:
K: 0.0000 0.0000 0.0000
Si: 0.5000 0.5000 0.5000
As: 0.2300 0.2300 0.2300
As: 0.7700 0.7700 0.7700
O: 0.1486 0.6137 0.6137
O: 0.2944 0.2944 0.2944
O: 0.3863 0.3863 0.8514
O: 0.3863 0.8514 0.3863
O: 0.6137 0.1486 0.6137
O: 0.6137 0.6137 0.1486
O: 0.7056 0.7056 0.7056
O: 0.8514 0.3863 0.3863

Computed properties:
The value obtained for the total energy is -6.044 eV per atom. For the magnetic moment, the calculation gives 0.838 μB per formula unit.



(10)
## K2SmAs2O6 (PBE)

Data for crystalline K2SmAs2O6 at its relaxed geometry.

Lattice parameters (Å, degrees): 5.8353 5.8353 7.3056 112.28 112.28 62.59
Sites, in units of the cell vectors:
K: 0.2075 0.2075 0.1745
K: 0.7925 0.7925 0.8255
Sm: 0.0000 0.0000 0.5000
As: 0.4373 0.4373 0.7823
As: 0.5627 0.5627 0.2177
O: 0.2352 0.7010 0.2494
O: 0.2540 0.2540 0.5835
O: 0.2990 0.7648 0.7506
O: 0.7010 0.2352 0.2494
O: 0.7460 0.7460 0.4165
O: 0.7648 0.2990 0.7506

Computed properties:
The value obtained for the total energy is -6.087 eV per atom. For the magnetic moment, the calculation gives 1.020 μB per formula unit.



(11)
## KSmAs2O6 (PBE)

Data for crystalline KSmAs2O6 at its relaxed geometry.

Lattice parameters (Å, degrees): 7.1752 7.1752 6.8569 105.19 105.19 88.99
Sites, in units of the cell vectors:
K: 0.2008 0.7992 0.7500
K: 0.7992 0.2008 0.2500
Sm: 0.3997 0.6003 0.2500
Sm: 0.6003 0.3997 0.7500
As: 0.1213 0.2729 0.7669
As: 0.2729 0.1213 0.2669
As: 0.7271 0.8787 0.7331
As: 0.8787 0.7271 0.2331
O: 0.0936 0.6080 0.2893
O: 0.1460 0.1702 0.0090
O: 0.1702 0.1460 0.5090
O: 0.3088 0.4618 0.8752
O: 0.3920 0.9064 0.2107
O: 0.4618 0.3088 0.3752
O: 0.5382 0.6912 0.6248
O: 0.6080 0.0936 0.7893
O: 0.6912 0.5382 0.1248
O: 0.8298 0.8540 0.4910
O: 0.8540 0.8298 0.9910
O: 0.9064 0.3920 0.7107

Computed properties:
The value obtained for the total energy is -6.345 eV per atom. For the magnetic moment, the calculation gives 0.000 μB per formula unit.



(12)
## K3Sm3AsO8 (PBE)

Data for crystalline K3Sm3AsO8 at its relaxed geometry.

Lattice parameters (Å, degrees): 7.4846 7.4846 7.4846 55.17 55.17 55.17
Sites, in units of the cell vectors:
K: 0.0000 0.5000 0.5000
K: 0.5000 0.0000 0.5000
K: 0.5000 0.5000 0.0000
Sm: 0.0000 0.0000 0.5000
Sm: 0.0000 0.5000 0.0000
Sm: 0.5000 0.0000 0.0000
As: 0.5000 0.5000 0.5000
O: 0.2293 0.2293 0.2293
O: 0.2651 0.7034 0.7034
O: 0.2966 0.2966 0.7349
O: 0.2966 0.7349 0.2966
O: 0.7034 0.2651 0.7034
O: 0.7034 0.7034 0.2651
O: 0.7349 0.2966 0.2966
O: 0.7707 0.7707 0.7707

Computed properties:
The value obtained for the total energy is -6.438 eV per atom. For the magnetic moment, the calculation gives 0.000 μB per formula unit.



Computed energy relative to the elements, uncorrected (eV per atom) in order:
0.00; -1.56; -1.98; -1.73; 1.85; 0.06; 0.10; 1.74; -1.42; -1.91; -1.86; -2.32
Computed V (Å³/atom) in order:
37.4; 17.6; 15.7; 16.0; 36.7; 21.2; 20.7; 67.0; 17.0; 18.0; 16.4; 17.5